Entry 1:
# Zn3TeC

Zn3TeC after structural relaxation (GGA-PBE, the Alexandria database).

- DFT total energy (eV/atom) = -1.4603
- space-group type = Pm-3m (221)
- formation energy (no corrections) (kJ/mol of formula units) = 857
- energy above the most stable polymorph in this dataset (eV per formula unit) = 6.77

Cell and atoms, written as POSCAR:
```
Zn3TeC
1.0
5.464 0.000 0.000
0.000 5.464 0.000
0.000 0.000 5.464
Zn Te C
3 1 1
Direct
0.000 0.000 0.500
0.000 0.500 0.000
0.500 0.000 0.000
0.000 0.000 0.000
0.500 0.500 0.500
```

Entry 2:
# Zn2Te2C

Zn2Te2C after structural relaxation (GGA-PBE, the Alexandria database).

- DFT total energy (eV/atom) = -2.6394
- space-group type = P4/mbm (127)
- formation energy (no corrections) (kJ/mol of formula units) = 469
- energy above the most stable polymorph in this dataset (eV per formula unit) = 0.00

Cell and atoms, written as POSCAR:
```
Zn2Te2C
1.0
7.032 0.000 0.000
0.000 7.032 0.000
0.000 0.000 4.400
Zn Te C
4 4 2
Direct
0.121 0.379 0.000
0.379 0.879 0.000
0.621 0.121 0.000
0.879 0.621 0.000
0.224 0.724 0.500
0.276 0.224 0.500
0.724 0.776 0.500
0.776 0.276 0.500
0.000 0.000 0.500
0.500 0.500 0.500
```

Entry 3:
# ZnTeC2

ZnTeC2 after structural relaxation (GGA-PBE, the Alexandria database).

- DFT total energy (eV/atom) = -4.4560
- space-group type = I-42d (122)
- formation energy (no corrections) (kJ/mol of formula units) = 486
- energy above the most stable polymorph in this dataset (eV per formula unit) = 0.00

Cell and atoms, written as POSCAR:
```
ZnTeC2
1.0
4.920 0.000 0.000
0.000 4.920 0.000
0.000 0.000 9.682
Zn Te C
4 4 8
Direct
0.000 0.000 0.000
0.000 0.500 0.250
0.500 0.000 0.750
0.500 0.500 0.500
0.000 0.000 0.500
0.000 0.500 0.750
0.500 0.000 0.250
0.500 0.500 0.000
0.249 0.250 0.125
0.250 0.749 0.375
0.250 0.751 0.875
0.251 0.250 0.625
0.749 0.750 0.625
0.750 0.249 0.875
0.750 0.251 0.375
0.751 0.750 0.125
```

Entry 4:
# ZnTeC2

ZnTeC2 after structural relaxation (GGA-PBE, the Alexandria database).

- DFT total energy (eV/atom) = -3.4482
- space-group type = Fm-3m (225)
- formation energy (no corrections) (kJ/mol of formula units) = 875
- energy above the most stable polymorph in this dataset (eV per formula unit) = 4.03

Cell and atoms, written as POSCAR:
```
ZnTeC2
1.0
5.934 0.000 0.000
0.000 5.934 0.000
0.000 0.000 5.934
Zn Te C
4 4 8
Direct
0.000 0.000 0.000
0.000 0.500 0.500
0.500 0.000 0.500
0.500 0.500 0.000
0.000 0.000 0.500
0.000 0.500 0.000
0.500 0.000 0.000
0.500 0.500 0.500
0.250 0.250 0.250
0.250 0.250 0.750
0.250 0.750 0.250
0.250 0.750 0.750
0.750 0.250 0.250
0.750 0.250 0.750
0.750 0.750 0.250
0.750 0.750 0.750
```

Entry 5:
# Zn2TeC

Zn2TeC after structural relaxation (GGA-PBE, the Alexandria database).

- DFT total energy (eV/atom) = -3.0751
- space-group type = I-42d (122)
- formation energy (no corrections) (kJ/mol of formula units) = 252
- energy above the most stable polymorph in this dataset (eV per formula unit) = 0.00

Cell and atoms, written as POSCAR:
```
Zn2TeC
1.0
5.535 0.000 0.000
0.000 5.535 0.000
0.000 0.000 10.108
Zn Te C
8 4 4
Direct
0.124 0.250 0.125
0.250 0.624 0.375
0.250 0.876 0.875
0.376 0.250 0.625
0.624 0.750 0.625
0.750 0.124 0.875
0.750 0.376 0.375
0.876 0.750 0.125
0.000 0.000 0.500
0.000 0.500 0.750
0.500 0.000 0.250
0.500 0.500 0.000
0.000 0.000 0.000
0.000 0.500 0.250
0.500 0.000 0.750
0.500 0.500 0.500
```

Entry 6:
# ZnTe2C

ZnTe2C after structural relaxation (GGA-PBE, the Alexandria database).

- DFT total energy (eV/atom) = -2.7189
- space-group type = Fm-3m (225)
- formation energy (no corrections) (kJ/mol of formula units) = 570
- energy above the most stable polymorph in this dataset (eV per formula unit) = 2.62

Cell and atoms, written as POSCAR:
```
ZnTe2C
1.0
6.772 0.000 0.000
0.000 6.772 0.000
0.000 0.000 6.772
Zn Te C
4 8 4
Direct
0.000 0.000 0.000
0.000 0.500 0.500
0.500 0.000 0.500
0.500 0.500 0.000
0.250 0.250 0.250
0.250 0.250 0.750
0.250 0.750 0.250
0.250 0.750 0.750
0.750 0.250 0.250
0.750 0.250 0.750
0.750 0.750 0.250
0.750 0.750 0.750
0.000 0.000 0.500
0.000 0.500 0.000
0.500 0.000 0.000
0.500 0.500 0.500
```

Entry 7:
# ZrTeC3

ZrTeC3 after structural relaxation (GGA-PBE, the Alexandria database).

- DFT total energy (eV/atom) = -5.6630
- space-group type = Pm-3m (221)
- formation energy (no corrections) (kJ/mol of formula units) = 1066
- energy above the most stable polymorph in this dataset (eV per formula unit) = 0.13

Cell and atoms, written as POSCAR:
```
ZrTeC3
1.0
4.403 0.000 0.000
0.000 4.403 0.000
0.000 0.000 4.403
Zr Te C
1 1 3
Direct
0.000 0.000 0.000
0.500 0.500 0.500
0.000 0.000 0.500
0.000 0.500 0.000
0.500 0.000 0.000
```

Entry 8:
# ZrTe2C2

ZrTe2C2 after structural relaxation (GGA-PBE, the Alexandria database).

- DFT total energy (eV/atom) = -4.9216
- space-group type = I4/mmm (139)
- formation energy (no corrections) (kJ/mol of formula units) = 837
- energy above the most stable polymorph in this dataset (eV per formula unit) = 1.98

Cell and atoms, written as POSCAR:
```
ZrTe2C2
1.0
3.942 0.000 0.000
0.000 3.942 0.000
0.000 0.000 11.449
Zr Te C
2 4 4
Direct
0.000 0.000 0.000
0.500 0.500 0.500
0.000 0.000 0.354
0.000 0.000 0.646
0.500 0.500 0.146
0.500 0.500 0.854
0.000 0.500 0.250
0.000 0.500 0.750
0.500 0.000 0.250
0.500 0.000 0.750
```

Entry 9:
# ZrTe2C2

ZrTe2C2 after structural relaxation (GGA-PBE, the Alexandria database).

- DFT total energy (eV/atom) = -5.3175
- space-group type = P4/mbm (127)
- formation energy (no corrections) (kJ/mol of formula units) = 646
- energy above the most stable polymorph in this dataset (eV per formula unit) = 0.00

Cell and atoms, written as POSCAR:
```
ZrTe2C2
1.0
7.605 0.000 0.000
0.000 7.605 0.000
0.000 0.000 3.284
Zr Te C
2 4 4
Direct
0.000 0.000 0.000
0.500 0.500 0.000
0.149 0.351 0.000
0.351 0.851 0.000
0.649 0.149 0.000
0.851 0.649 0.000
0.217 0.717 0.500
0.283 0.217 0.500
0.717 0.783 0.500
0.783 0.283 0.500
```

Entry 10:
# Zr5Te2C

Zr5Te2C after structural relaxation (GGA-PBE, the Alexandria database).

- DFT total energy (eV/atom) = -7.5760
- space-group type = Cmcm (63)
- formation energy (no corrections) (kJ/mol of formula units) = -228

Cell and atoms, written as POSCAR:
```
Zr5Te2C
1.0
2.099 -7.872 0.000
2.099 7.872 0.000
0.000 0.000 12.217
Zr Te C
10 4 2
Direct
0.127 0.873 0.626
0.127 0.873 0.874
0.234 0.766 0.250
0.310 0.690 0.557
0.310 0.690 0.943
0.690 0.310 0.057
0.690 0.310 0.443
0.766 0.234 0.750
0.873 0.127 0.126
0.873 0.127 0.374
0.068 0.932 0.111
0.068 0.932 0.389
0.932 0.068 0.611
0.932 0.068 0.889
0.232 0.768 0.750
0.768 0.232 0.250
```

Entry 11:
# ZrTeC2

ZrTeC2 after structural relaxation (GGA-PBE, the Alexandria database).

- DFT total energy (eV/atom) = -6.6322
- space-group type = I-42d (122)
- formation energy (no corrections) (kJ/mol of formula units) = 348

Cell and atoms, written as POSCAR:
```
ZrTeC2
1.0
5.222 0.000 0.000
0.000 5.222 0.000
0.000 0.000 10.524
Zr Te C
4 4 8
Direct
0.000 0.000 0.000
0.000 0.500 0.250
0.500 0.000 0.750
0.500 0.500 0.500
0.000 0.000 0.500
0.000 0.500 0.750
0.500 0.000 0.250
0.500 0.500 0.000
0.235 0.250 0.125
0.250 0.735 0.375
0.250 0.765 0.875
0.265 0.250 0.625
0.735 0.750 0.625
0.750 0.235 0.875
0.750 0.265 0.375
0.765 0.750 0.125
```

Entry 12:
# Zr4Te5C

Zr4Te5C after structural relaxation (GGA-PBE, the Alexandria database).

- DFT total energy (eV/atom) = -6.7438
- space-group type = C2/m (12)
- formation energy (no corrections) (kJ/mol of formula units) = -802

Cell and atoms, written as POSCAR:
```
Zr4Te5C
1.0
8.695 -1.852 0.000
8.695 1.852 0.000
-1.672 0.000 7.841
Zr Te C
4 5 1
Direct
0.002 0.002 0.300
0.363 0.363 0.434
0.637 0.637 0.566
0.998 0.998 0.700
0.165 0.165 0.845
0.172 0.172 0.314
0.500 0.500 0.000
0.828 0.828 0.686
0.835 0.835 0.155
0.500 0.500 0.500
```